Material: NaSnSeN2
Method: DFT, PBE-GGA
State: relaxed

## Properties
Its energy above the most stable polymorph in this dataset is 367 kJ/mol of formula units. The symmetry is P4/mmm. As for the density of states at the Fermi level: 1.45 states/eV per cell. Its uncorrected formation energy is 1.573 eV/atom. The volume comes out at 108.31 Å³/cell. Its density is 3.81 g/cm3.

CIF file:
```
data_NaSnSeN2
_space_group_name_H-M_alt 'P 1'
_space_group_IT_number 1
_cell_length_a 4.4521
_cell_length_b 4.4521
_cell_length_c 5.4641
_cell_angle_alpha 90.00
_cell_angle_beta 90.00
_cell_angle_gamma 90.00
loop_
_space_group_symop_operation_xyz
'x,y,z'
loop_
_atom_site_label
_atom_site_fract_x
_atom_site_fract_y
_atom_site_fract_z
Sn1 0.5000 0.5000 0.5000
Se1 0.0000 0.0000 0.5000
N1 0.5000 0.0000 0.0000
N2 0.0000 0.5000 0.0000
Na1 0.0000 0.0000 0.0000
```